[1]
# Ca2YSbO

An optimized crystal structure of Ca2YSbO (PBE, the Alexandria database).

Cell and atoms, written as CIF:
```
data_Ca2YSbO
_chemical_formula_sum 'Ca2 Y1 Sb1 O1'
_space_group_name_H-M_alt 'P 4/m m m'
_space_group_IT_number 123
_space_group_name_Hall '-P 4 2'
_cell_length_a 4.779
_cell_length_b 4.779
_cell_length_c 4.822
_cell_angle_alpha 90.00
_cell_angle_beta 90.00
_cell_angle_gamma 90.00
loop_
_atom_site_label
_atom_site_fract_x
_atom_site_fract_y
_atom_site_fract_z
Ca1 0.000 0.500 0.000
Y1 0.000 0.000 0.500
Sb1 0.500 0.500 0.500
O1 0.000 0.000 0.000
```

Results
Total moment in μB per formula unit: 0.0
Energy relative to the elements, uncorrected in kJ per mole of atoms: -144.3

---

[2]
# CaZr2SbO8

An optimized crystal structure of CaZr2SbO8 (PBE, the Alexandria database).

Cell and atoms, written as CIF:
```
data_CaZr2SbO8
_chemical_formula_sum 'Ca2 Zr4 Sb2 O16'
_space_group_name_H-M_alt 'C m m m'
_space_group_IT_number 65
_space_group_name_Hall '-C 2 2'
_cell_length_a 6.886
_cell_length_b 7.063
_cell_length_c 6.712
_cell_angle_alpha 90.00
_cell_angle_beta 90.00
_cell_angle_gamma 90.00
loop_
_atom_site_label
_atom_site_fract_x
_atom_site_fract_y
_atom_site_fract_z
Ca1 0.000 0.000 0.000
Zr1 0.000 0.500 0.241
Sb1 0.000 0.000 0.500
O1 0.000 0.292 0.500
O2 0.000 0.320 0.000
O3 0.199 0.000 0.285
```

Results
Total moment in μB per formula unit: 0.9
Energy relative to the elements, uncorrected in kJ per mole of atoms: -242.4

---

[3]
# Ca2ScO

An optimized crystal structure of Ca2ScO (PBE, the Alexandria database).

Cell and atoms, written as CIF:
```
data_Ca2ScO
_chemical_formula_sum 'Ca8 Sc4 O4'
_space_group_name_H-M_alt 'I -4 2 d'
_space_group_IT_number 122
_space_group_name_Hall 'I -4 2bw'
_cell_length_a 7.008
_cell_length_b 7.008
_cell_length_c 9.675
_cell_angle_alpha 90.00
_cell_angle_beta 90.00
_cell_angle_gamma 90.00
loop_
_atom_site_label
_atom_site_fract_x
_atom_site_fract_y
_atom_site_fract_z
Ca1 0.071 0.750 0.125
Sc1 0.000 0.000 0.500
O1 0.000 0.000 0.000
```

Results
Total moment in μB per formula unit: 1.8
Energy relative to the elements, uncorrected in kJ per mole of atoms: -97.9

---

[4]
# CaScO

An optimized crystal structure of CaScO (PBE, the Alexandria database).

Cell and atoms, written as CIF:
```
data_CaScO
_chemical_formula_sum 'Ca1 Sc1 O1'
_space_group_name_H-M_alt 'P 3 m 1'
_space_group_IT_number 156
_cell_length_a 3.3357
_cell_length_b 3.3357
_cell_length_c 5.7132
_cell_angle_alpha 90.00
_cell_angle_beta 90.00
_cell_angle_gamma 120.00
loop_
_space_group_symop_operation_xyz
'x,y,z'
'-y,x-y,z'
'-x+y,-x,z'
'-y,-x,z'
'-x+y,y,z'
'x,x-y,z'
loop_
_atom_site_label
_atom_site_fract_x
_atom_site_fract_y
_atom_site_fract_z
Ca1 0.0000 0.0000 0.0000
Sc1 0.3333 0.6667 0.4752
O1 0.6667 0.3333 0.2610
```

Results
Total moment in μB per formula unit: 1.1
Relative energy among the computed polymorphs in eV per atom: 0.064
Energy relative to the elements, uncorrected in kJ per mole of atoms: -168.3

---

Please write out number 4 again, unchanged.
# CaScO

An optimized crystal structure of CaScO (PBE, the Alexandria database).

Cell and atoms, written as CIF:
```
data_CaScO
_chemical_formula_sum 'Ca1 Sc1 O1'
_space_group_name_H-M_alt 'P 3 m 1'
_space_group_IT_number 156
_cell_length_a 3.3357
_cell_length_b 3.3357
_cell_length_c 5.7132
_cell_angle_alpha 90.00
_cell_angle_beta 90.00
_cell_angle_gamma 120.00
loop_
_space_group_symop_operation_xyz
'x,y,z'
'-y,x-y,z'
'-x+y,-x,z'
'-y,-x,z'
'-x+y,y,z'
'x,x-y,z'
loop_
_atom_site_label
_atom_site_fract_x
_atom_site_fract_y
_atom_site_fract_z
Ca1 0.0000 0.0000 0.0000
Sc1 0.3333 0.6667 0.4752
O1 0.6667 0.3333 0.2610
```

Results
Total moment in μB per formula unit: 1.1
Relative energy among the computed polymorphs in eV per atom: 0.064
Energy relative to the elements, uncorrected in kJ per mole of atoms: -168.3

---

Question: Which value of total moment does entry 4 give?
Answer: 1.1 μB per formula unit